[1]
## Mg12BiPb3 (GGA-PBE)

Data for Mg12BiPb3 after structural relaxation.

Computed properties:
ΔH_f (0 K) (kJ per mole of atoms): -7

Cell and atoms, written as CIF:
```
data_Mg12BiPb3
_cell_length_a 4.6086
_cell_length_b 4.6086
_cell_length_c 18.0945
_cell_angle_alpha 90.00
_cell_angle_beta 90.00
_cell_angle_gamma 90.00
_space_group_name_H-M_alt 'P 1'
_space_group_IT_number 1
loop_
_space_group_symop_operation_xyz
'x,y,z'
loop_
_atom_site_label
_atom_site_type_symbol
_atom_site_fract_x
_atom_site_fract_y
_atom_site_fract_z
Mg1 Mg 0.0000 0.0000 0.0000
Mg2 Mg 0.0000 0.0000 0.2483
Mg3 Mg 0.0000 0.0000 0.5000
Mg4 Mg 0.0000 0.0000 0.7517
Mg5 Mg 0.0000 0.5000 0.1240
Mg6 Mg 0.0000 0.5000 0.3720
Mg7 Mg 0.0000 0.5000 0.6280
Mg8 Mg 0.0000 0.5000 0.8760
Mg9 Mg 0.5000 0.0000 0.1240
Mg10 Mg 0.5000 0.0000 0.3720
Mg11 Mg 0.5000 0.0000 0.6280
Mg12 Mg 0.5000 0.0000 0.8760
Bi1 Bi 0.5000 0.5000 0.5000
Pb1 Pb 0.5000 0.5000 0.0000
Pb2 Pb 0.5000 0.5000 0.2483
Pb3 Pb 0.5000 0.5000 0.7517
```



[2]
## Mg2BiPb (GGA-PBE)

Data for Mg2BiPb after structural relaxation.

Computed properties:
Energy above the most stable polymorph in this dataset (meV/atom): 0
ΔH_f (0 K) (kJ per mole of atoms): -7

Cell and atoms, written as CIF:
```
data_Mg2BiPb
_cell_length_a 4.9621
_cell_length_b 4.9621
_cell_length_c 4.3386
_cell_angle_alpha 90.00
_cell_angle_beta 90.00
_cell_angle_gamma 90.00
_space_group_name_H-M_alt 'P 1'
_space_group_IT_number 1
loop_
_space_group_symop_operation_xyz
'x,y,z'
loop_
_atom_site_label
_atom_site_type_symbol
_atom_site_fract_x
_atom_site_fract_y
_atom_site_fract_z
Mg1 Mg 0.0000 0.5000 0.0000
Mg2 Mg 0.5000 0.0000 0.0000
Bi1 Bi 0.0000 0.0000 0.5000
Pb1 Pb 0.5000 0.5000 0.5000
```



[3]
## MgBiPb6 (GGA-PBE)

Data for MgBiPb6 after structural relaxation.

Computed properties:
Energy above the most stable polymorph in this dataset (meV/atom): 0
ΔH_f (0 K) (kJ per mole of atoms): 1

Cell and atoms, written as CIF:
```
data_MgBiPb6
_cell_length_a 7.1376
_cell_length_b 7.1376
_cell_length_c 4.8138
_cell_angle_alpha 90.00
_cell_angle_beta 90.00
_cell_angle_gamma 90.00
_space_group_name_H-M_alt 'P 1'
_space_group_IT_number 1
loop_
_space_group_symop_operation_xyz
'x,y,z'
loop_
_atom_site_label
_atom_site_type_symbol
_atom_site_fract_x
_atom_site_fract_y
_atom_site_fract_z
Mg1 Mg 0.0000 0.0000 0.0000
Bi1 Bi 0.5000 0.5000 0.0000
Pb1 Pb 0.0000 0.5000 0.0000
Pb2 Pb 0.2432 0.2432 0.5000
Pb3 Pb 0.2432 0.7568 0.5000
Pb4 Pb 0.5000 0.0000 0.0000
Pb5 Pb 0.7568 0.2432 0.5000
Pb6 Pb 0.7568 0.7568 0.5000
```